This record from Alexandria describes a geometry-optimized BaTl2Tc structure. The functional is PBE.

Lattice parameters (Å, degrees): 3.6105 4.3026 8.1738 74.66 90.00 90.00
Last column: nearest neighbours and their distance in Å.
Sites, in units of the cell vectors:
Ba (0.0000, 0.6728, 0.5289)  2 Tc 3.23, 2 Tl 3.60, 2 Ba 3.61
Tc (0.5000, 0.5031, 0.8690)  5 Tl 2.66-2.82
Tl (0.5000, 0.3342, 0.2068)  1 Tc 2.66
Tl (0.0000, 0.9899, 0.8953)  4 Tc 2.82

Values from the calculation:
Total magnetic moment (μB/f.u.): 0.00
Crystal system: monoclinic
Formation energy (eV per atom): 0.425